The following is a DFT calculation (PBE) of an optimized crystal structure of Rb2Sm4Cu4S9.

Computed properties:
The calculation puts the magnetization at 0.00 μB/f.u. The electronic total energy comes out at -5.233 eV per atom.

Lattice parameters (Å, degrees): 7.2930 7.2930 16.2069 108.48 108.48 31.92
Element x y z (fractional)
1 Cu 0.9300 0.9300 0.5389
2 Sm 0.2687 0.2687 0.3966
3 S 0.5000 0.5000 0.0000
4 Rb 0.4726 0.4726 0.2298
5 Cu 0.0700 0.0700 0.4611
6 Rb 0.5274 0.5274 0.7702
7 Cu 0.7469 0.7469 0.2279
8 S 0.8941 0.8941 0.3755
9 Sm 0.8455 0.8455 0.9461
10 S 0.1567 0.1567 0.2228
11 Cu 0.2531 0.2531 0.7721
12 S 0.3642 0.3642 0.5756
13 S 0.8433 0.8433 0.7772
14 Sm 0.1545 0.1545 0.0539
15 S 0.1059 0.1059 0.6245
16 S 0.6358 0.6358 0.4244
17 S 0.7989 0.7989 0.1033
18 S 0.2011 0.2011 0.8967
19 Sm 0.7313 0.7313 0.6034